This record from Alexandria via LeMat-Bulk describes a geometry-optimized La2Pr2Ho2In structure. The functional is PBE.

## Properties
Its electronic total energy is -31.62 eV/cell. As for the energy of formation: -0.3 eV per formula unit.

a = 6.5210 Å, b = 6.5210 Å, c = 11.6959 Å
α = 117.73°, β = 117.73°, γ = 33.40°
Closest atoms and distances in Å follow each position.
Fractional positions:
La1 0.1823 0.1823 0.0904  4 Pr 3.57-3.86, 2 Ho 3.62, 5 La 3.75-3.98
La2 0.8177 0.8177 0.9096  4 Pr 3.57-3.86, 2 Ho 3.62, 5 La 3.75-3.98
Pr1 0.0182 0.0182 0.7415  2 In 3.30, 1 La 3.57, 3 Ho 3.62-3.68
Pr2 0.9818 0.9818 0.2585  2 In 3.30, 1 La 3.57, 3 Ho 3.62-3.68
Ho1 0.2350 0.2350 0.6131  2 In 3.18, 2 Ho 3.41
Ho2 0.7650 0.7650 0.3869  2 In 3.18, 2 Ho 3.41
In1 0.5000 0.5000 0.5000  4 Ho 3.18, 4 Pr 3.30